# SrLa2CdPt

SrLa2CdPt after structural relaxation (PBEsol, the Alexandria database).

Cell and atoms, written as POSCAR:
```
SrLa2CdPt
1.0
5.777 0.000 0.000
0.000 5.777 0.000
0.000 0.000 5.022
Sr La Cd Pt
1 2 1 1
Cartesian
0.000 0.000 0.000
0.000 2.888 0.000
2.888 0.000 0.000
2.888 2.888 2.511
0.000 0.000 2.511
```

- E_tot: -3.3237 eV/atom
- Energy relative to the elements: 4.1 eV/f.u.
- DOS at the Fermi energy: 5.3 states/eV per cell